Ca2FeGeRh, optimized geometry, DFT GGA-PBE; DFT formation energy = 0.388 eV/atom; symmetry = P4/mmm
1.0
5.269 0.000 0.000
0.000 4.380 0.000
0.000 0.000 5.269
Ge Fe Ca Rh
1 1 2 1
direct
0.500 0.500 0.500 Ge
0.000 0.000 0.000 Fe
0.000 0.000 0.500 Ca
0.500 0.000 0.000 Ca
0.000 0.500 0.000 Rh

***

Ta2AlTl, optimized geometry, DFT GGA-PBE; DFT formation energy = 0.298 eV/atom; symmetry = C2/m
1.0
5.164 0.000 0.000
4.281 2.888 0.000
0.984 0.301 5.117
Tl Al Ta
1 1 2
direct
0.250 0.250 0.250 Tl
0.750 0.750 0.750 Al
0.006 0.006 0.987 Ta
0.494 0.494 0.513 Ta

***

TeMoRh, optimized geometry, DFT GGA-PBE; uncorrected formation energy = 0.3066 eV/atom; symmetry = P3m1; offset from the most stable computed form = 0.111 eV per atom
1.0
-0.893 4.342 -0.030
-2.967 -2.862 1.632
1.269 0.281 2.799
Te Mo Rh
1 1 1
direct
0.333 0.667 0.647 Te
0.000 0.000 0.942 Mo
0.667 0.333 0.411 Rh

***

Tm2BeH, optimized geometry, DFT GGA-PBE; raw total energy = -3.5240 eV per atom; symmetry = R-3m
1.0
-1.744 0.067 2.893
0.556 -2.351 2.362
5.383 3.996 5.125
H Tm Be
1 2 1
direct
0.500 0.500 0.500 H
0.887 0.887 0.339 Tm
0.113 0.113 0.661 Tm
0.000 0.000 0.000 Be

***

BaNp2CuO8, optimized geometry, DFT GGA-PBE; uncorrected formation energy = -2.3666 eV/atom; symmetry = P-1
1.0
5.011 0.264 0.104
0.332 5.688 -0.240
0.181 -0.305 7.001
Cu Np O Ba
1 2 8 1
direct
0.000 0.000 0.000 Cu
0.516 0.463 0.240 Np
0.484 0.537 0.760 Np
0.593 0.706 0.530 O
0.166 0.777 0.810 O
0.407 0.294 0.470 O
0.631 0.673 0.047 O
0.369 0.327 0.953 O
0.179 0.648 0.262 O
0.834 0.223 0.190 O
0.821 0.352 0.738 O
0.000 0.000 0.500 Ba

***

Tl4PbAu2, optimized geometry, DFT GGA-PBE; DFT formation energy = 0.028 eV/atom; symmetry = P2/m
1.0
5.017 0.000 0.000
0.000 4.382 -0.972
0.000 1.132 8.895
Pb Au Tl
1 2 4
direct
0.000 0.000 0.000 Pb
0.500 0.723 0.116 Au
0.500 0.277 0.884 Au
0.500 0.750 0.667 Tl
0.500 0.250 0.333 Tl
0.000 0.728 0.345 Tl
0.000 0.272 0.655 Tl